Record 1
A plane-wave DFT calculation with PBE was carried out for a relaxed BeSCl2O crystal.

Output
Calculated density in Mg/m³: 2.45
ΔE_f (raw) in eV per formula unit: 2.81
DOS(E_F) in states/eV/f.u.: 5.9
Distance to the lowest polymorph of the same formula in kJ/mol of formula units: 0

a b c (Å): 4.1008 4.1008 5.1625
angles (deg): 90.00 90.00 90.00
Last column: nearest neighbours and their distance in Å.
Element x y z (fractional)
Be 0.0000 0.0000 0.0000  4 Cl 2.05
S 0.0000 0.0000 0.5000  2 Be 2.58
O 0.5000 0.5000 0.5000  4 S 2.90
Cl 0.0000 0.5000 0.0000  2 Be 2.05
Cl 0.5000 0.0000 0.0000  2 Be 2.05



Record 2
A plane-wave DFT calculation with PBE was carried out for a relaxed Tb4Sm4Er3 crystal.

Output
Calculated density in Mg/m³: 8.18
Calculated formation energy in eV/atom: 0.0592
DOS(E_F) in states/eV/f.u.: 19.0
Distance to the lowest polymorph of the same formula in kJ/mol of formula units: 0

a b c (Å): 3.5251 5.6365 18.0851
angles (deg): 81.04 84.40 89.99
Last column: nearest neighbours and their distance in Å.
Element x y z (fractional)
Tb 0.5460 0.5460 0.9088  2 Sm 3.23, 3 Tb 3.24-3.53
Tb 0.4539 0.4540 0.0913  2 Sm 3.23, 3 Tb 3.24-3.53
Tb 0.3195 0.8199 0.3600  4 Sm 3.19-3.58, 2 Tb 3.53
Tb 0.6806 0.1802 0.6399  4 Sm 3.19-3.58, 2 Tb 3.53
Sm 0.5905 0.0905 0.8196  3 Tb 3.19-3.23, 2 Sm 3.53
Sm 0.2679 0.2676 0.4647  4 Tb 3.38-3.58, 6 Sm 3.53-3.55
Sm 0.7322 0.7325 0.5352  4 Tb 3.38-3.58, 6 Sm 3.53-3.55
Sm 0.4095 0.9095 0.1803  3 Tb 3.19-3.23, 2 Sm 3.53
Er 0.1363 0.6360 0.7285  2 Er 3.53, 6 Tb 3.66-3.68, 6 Sm 3.70-3.86
Er 0.8637 0.3640 0.2716  2 Er 3.53, 6 Tb 3.66-3.68, 6 Sm 3.70-3.86
Er 0.0000 0.0000 0.0000  2 Er 3.53, 4 Sm 3.66, 8 Tb 3.70



Record 3
A plane-wave DFT calculation with PBE was carried out for a relaxed AcPuBr4 crystal.

Output
Calculated density in Mg/m³: 5.80
ΔE_f (raw) in eV per formula unit: -9.00
DOS(E_F) in states/eV/f.u.: 12.1

a b c (Å): 7.5721 7.4171 9.5948
angles (deg): 104.60 105.24 109.92
Last column: nearest neighbours and their distance in Å.
Element x y z (fractional)
Ac 0.3141 0.5641 0.1282  6 Br 3.00-3.22
Ac 0.6859 0.4359 0.8718  6 Br 3.00-3.22
Pu 0.8115 0.0615 0.1229  6 Br 2.92-3.06
Pu 0.1885 0.9385 0.8771  6 Br 2.92-3.06
Br 0.3071 0.0632 0.6375  1 Pu 2.92, 1 Ac 3.00
Br 0.0747 0.8370 0.1404  2 Pu 3.00-3.06, 2 Ac 3.14-3.22
Br 0.1696 0.4257 0.3625  1 Pu 2.92, 1 Ac 3.00
Br 0.4343 0.6965 0.8596  2 Pu 3.00-3.06, 2 Ac 3.14-3.22
Br 0.6929 0.9368 0.3625  1 Pu 2.92, 1 Ac 3.00
Br 0.8304 0.5743 0.6375  1 Pu 2.92, 1 Ac 3.00
Br 0.9253 0.1630 0.8596  2 Pu 3.00-3.06, 2 Ac 3.14-3.22
Br 0.5657 0.3035 0.1404  2 Pu 3.00-3.06, 2 Ac 3.14-3.22



Record 4
A plane-wave DFT calculation with PBE was carried out for a relaxed SmAgSb2 crystal.

Output
Calculated density in Mg/m³: 8.29
ΔE_f (raw) in eV per formula unit: -2.03
DOS(E_F) in states/eV/f.u.: 2.3

a b c (Å): 4.3245 4.8199 4.8199
angles (deg): 90.00 90.00 90.00
Last column: nearest neighbours and their distance in Å.
Element x y z (fractional)
Sb 0.0000 0.0000 0.5000  4 Sm 3.24, 4 Ag 3.24, 4 Sb 3.41
Sb 0.0000 0.5000 0.0000  4 Ag 3.24, 4 Sm 3.24, 4 Sb 3.41
Ag 0.5000 0.0000 0.0000  8 Sb 3.24, 4 Sm 3.41
Sm 0.5000 0.5000 0.5000  8 Sb 3.24, 4 Ag 3.41



Record 5
A plane-wave DFT calculation with PBE was carried out for a relaxed K2PtWAu crystal.

Output
Calculated density in Mg/m³: 5.29
Calculated formation energy in eV/atom: 1.1294
DOS(E_F) in states/eV/f.u.: 2.8

a b c (Å): 6.5489 4.7882 6.5489
angles (deg): 90.00 90.00 90.00
Last column: nearest neighbours and their distance in Å.
Element x y z (fractional)
K 0.0000 0.0000 0.5000  2 W 3.27
K 0.5000 0.0000 0.0000  2 W 3.27
Au 0.5000 0.5000 0.5000  8 K 4.06
W 0.0000 0.0000 0.0000  2 Pt 2.39
Pt 0.0000 0.5000 0.0000  2 W 2.39



Record 6
A plane-wave DFT calculation with PBE was carried out for a relaxed Sn3Sb5Au12 crystal.

Output
Calculated density in Mg/m³: 10.67
ΔE_f (raw) in eV per formula unit: 0.80
DOS(E_F) in states/eV/f.u.: 9.5

a b c (Å): 13.9111 13.9111 13.9111
angles (deg): 109.47 109.47 109.47
Last column: nearest neighbours and their distance in Å.
Element x y z (fractional)
Sn 0.7500 0.3750 0.1250  8 Au 2.82-2.96
Sn 0.8750 0.7500 0.1250  8 Au 2.82-2.96
Sn 0.3750 0.7500 0.6250  8 Au 2.82-2.96
Sn 0.2500 0.1250 0.3750  8 Au 2.82-2.96
Sn 0.8750 0.1250 0.2500  8 Au 2.82-2.96
Sn 0.3750 0.6250 0.2500  8 Au 2.82-2.96
Sn 0.6250 0.3750 0.7500  8 Au 2.82-2.96
Sn 0.1250 0.8750 0.7500  8 Au 2.82-2.96
Sn 0.7500 0.8750 0.6250  8 Au 2.82-2.96
Sn 0.6250 0.2500 0.3750  8 Au 2.82-2.96
Sn 0.1250 0.2500 0.8750  8 Au 2.82-2.96
Sn 0.2500 0.6250 0.8750  8 Au 2.82-2.96
Sb 0.1250 0.3750 0.2500  4 Au 2.69
Sb 0.0000 0.5000 0.0000  6 Au 2.77
Sb 0.0000 0.0000 0.0000  6 Au 2.77
Sb 0.3750 0.2500 0.1250  4 Au 2.69
Sb 0.5000 0.0000 0.5000  6 Au 2.77
Sb 0.5000 0.5000 0.0000  6 Au 2.77
Sb 0.1250 0.7500 0.3750  4 Au 2.69
Sb 0.7500 0.1250 0.8750  4 Au 2.69
Sb 0.7500 0.6250 0.3750  4 Au 2.69
Sb 0.3750 0.1250 0.7500  4 Au 2.69
Sb 0.6250 0.8750 0.2500  4 Au 2.69
Sb 0.5000 0.5000 0.5000  6 Au 2.77
Sb 0.5000 0.0000 0.0000  6 Au 2.77
Sb 0.0000 0.0000 0.5000  6 Au 2.77
Sb 0.2500 0.3750 0.6250  4 Au 2.69
Sb 0.2500 0.8750 0.1250  4 Au 2.69
Sb 0.0000 0.5000 0.5000  6 Au 2.77
Sb 0.8750 0.2500 0.6250  4 Au 2.69
Sb 0.6250 0.7500 0.8750  4 Au 2.69
Sb 0.8750 0.6250 0.7500  4 Au 2.69
Au 0.7305 0.1415 0.0649  2 Sb 2.69-2.77, 2 Sn 2.82-2.96, 1 Au 2.91
Au 0.3344 0.5649 0.4234  2 Sb 2.69-2.77, 2 Sn 2.82-2.96, 1 Au 2.91
Au 0.9351 0.3585 0.2695  2 Sb 2.69-2.77, 2 Sn 2.82-2.96, 1 Au 2.91
Au 0.5649 0.2305 0.1415  2 Sb 2.69-2.77, 2 Sn 2.82-2.96, 1 Au 2.91
Au 0.5890 0.7305 0.6656  2 Sb 2.69-2.77, 2 Sn 2.82-2.96, 1 Au 2.91
Au 0.9351 0.5766 0.1656  2 Sb 2.69-2.77, 2 Sn 2.82-2.96, 1 Au 2.91
Au 0.3344 0.7695 0.4110  2 Sb 2.69-2.77, 2 Sn 2.82-2.96, 1 Au 2.91
Au 0.0766 0.9110 0.1415  2 Sb 2.69-2.77, 2 Sn 2.82-2.96, 1 Au 2.91
Au 0.5766 0.9351 0.6656  2 Sb 2.69-2.77, 2 Sn 2.82-2.96, 1 Au 2.91
Au 0.7305 0.5890 0.1656  2 Sb 2.69-2.77, 2 Sn 2.82-2.96, 1 Au 2.91
Au 0.7695 0.4351 0.3585  2 Sb 2.69-2.77, 2 Sn 2.82-2.96, 1 Au 2.91
Au 0.8344 0.9234 0.0649  2 Sb 2.69-2.77, 2 Sn 2.82-2.96, 1 Au 2.91
Au 0.1415 0.7305 0.5649  2 Sb 2.69-2.77, 2 Sn 2.82-2.96, 1 Au 2.91
Au 0.3585 0.4234 0.0890  2 Sb 2.69-2.77, 2 Sn 2.82-2.96, 1 Au 2.91
Au 0.0890 0.9234 0.3585  2 Sb 2.69-2.77, 2 Sn 2.82-2.96, 1 Au 2.91
Au 0.4110 0.1415 0.5766  2 Sb 2.69-2.77, 2 Sn 2.82-2.96, 1 Au 2.91
Au 0.0890 0.1656 0.2305  2 Sb 2.69-2.77, 2 Sn 2.82-2.96, 1 Au 2.91
Au 0.4351 0.6656 0.0766  2 Sb 2.69-2.77, 2 Sn 2.82-2.96, 1 Au 2.91
Au 0.8344 0.9110 0.2695  2 Sb 2.69-2.77, 2 Sn 2.82-2.96, 1 Au 2.91
Au 0.1415 0.4110 0.0766  2 Sb 2.69-2.77, 2 Sn 2.82-2.96, 1 Au 2.91
Au 0.3585 0.9351 0.7695  2 Sb 2.69-2.77, 2 Sn 2.82-2.96, 1 Au 2.91
Au 0.5766 0.6415 0.4110  2 Sb 2.69-2.77, 2 Sn 2.82-2.96, 1 Au 2.91
Au 0.9234 0.8344 0.5649  2 Sb 2.69-2.77, 2 Sn 2.82-2.96, 1 Au 2.91
Au 0.7695 0.3344 0.9110  2 Sb 2.69-2.77, 2 Sn 2.82-2.96, 1 Au 2.91
Au 0.4234 0.3585 0.5890  2 Sb 2.69-2.77, 2 Sn 2.82-2.96, 1 Au 2.91
Au 0.0766 0.1656 0.4351  2 Sb 2.69-2.77, 2 Sn 2.82-2.96, 1 Au 2.91
Au 0.2305 0.6656 0.0890  2 Sb 2.69-2.77, 2 Sn 2.82-2.96, 1 Au 2.91
Au 0.1656 0.0890 0.7305  2 Sb 2.69-2.77, 2 Sn 2.82-2.96, 1 Au 2.91
Au 0.6415 0.0649 0.2305  2 Sb 2.69-2.77, 2 Sn 2.82-2.96, 1 Au 2.91
Au 0.8585 0.5890 0.9234  2 Sb 2.69-2.77, 2 Sn 2.82-2.96, 1 Au 2.91
Au 0.5649 0.3344 0.9234  2 Sb 2.69-2.77, 2 Sn 2.82-2.96, 1 Au 2.91
Au 0.5890 0.8585 0.4234  2 Sb 2.69-2.77, 2 Sn 2.82-2.96, 1 Au 2.91
Au 0.9110 0.8344 0.7695  2 Sb 2.69-2.77, 2 Sn 2.82-2.96, 1 Au 2.91
Au 0.9110 0.0766 0.6415  2 Sb 2.69-2.77, 2 Sn 2.82-2.96, 1 Au 2.91
Au 0.8585 0.2695 0.4351  2 Sb 2.69-2.77, 2 Sn 2.82-2.96, 1 Au 2.91
Au 0.1656 0.0766 0.9351  2 Sb 2.69-2.77, 2 Sn 2.82-2.96, 1 Au 2.91
Au 0.6415 0.5766 0.9110  2 Sb 2.69-2.77, 2 Sn 2.82-2.96, 1 Au 2.91
Au 0.4234 0.0649 0.3344  2 Sb 2.69-2.77, 2 Sn 2.82-2.96, 1 Au 2.91
Au 0.2695 0.4110 0.8344  2 Sb 2.69-2.77, 2 Sn 2.82-2.96, 1 Au 2.91
Au 0.2305 0.5649 0.6415  2 Sb 2.69-2.77, 2 Sn 2.82-2.96, 1 Au 2.91
Au 0.9234 0.0890 0.8585  2 Sb 2.69-2.77, 2 Sn 2.82-2.96, 1 Au 2.91
Au 0.6656 0.2305 0.5890  2 Sb 2.69-2.77, 2 Sn 2.82-2.96, 1 Au 2.91
Au 0.4351 0.7695 0.8585  2 Sb 2.69-2.77, 2 Sn 2.82-2.96, 1 Au 2.91
Au 0.0649 0.4234 0.8344  2 Sb 2.69-2.77, 2 Sn 2.82-2.96, 1 Au 2.91
Au 0.4110 0.2695 0.3344  2 Sb 2.69-2.77, 2 Sn 2.82-2.96, 1 Au 2.91
Au 0.0649 0.6415 0.7305  2 Sb 2.69-2.77, 2 Sn 2.82-2.96, 1 Au 2.91
Au 0.6656 0.4351 0.5766  2 Sb 2.69-2.77, 2 Sn 2.82-2.96, 1 Au 2.91
Au 0.2695 0.8585 0.9351  2 Sb 2.69-2.77, 2 Sn 2.82-2.96, 1 Au 2.91



Record 7
A plane-wave DFT calculation with PBE was carried out for a relaxed Dy3Er4Tm crystal.

Output
Calculated density in Mg/m³: 8.72
Calculated formation energy in eV/atom: 0.1963
DOS(E_F) in states/eV/f.u.: 10.8
Distance to the lowest polymorph of the same formula in kJ/mol of formula units: 151

a b c (Å): 5.5551 3.5207 13.2019
angles (deg): 89.99 102.15 90.00
Last column: nearest neighbours and their distance in Å.
Element x y z (fractional)
Er 0.6029 0.5003 0.2059  1 Er 3.10, 2 Tm 3.19
Er 0.3971 0.4997 0.7941  1 Er 3.10, 2 Tm 3.19
Er 0.2771 0.4990 0.5542  3 Er 3.10-3.11
Er 0.7229 0.5010 0.4458  3 Er 3.10-3.11
Tm 0.5000 0.0000 0.0000  4 Er 3.19, 4 Dy 3.29, 2 Tm 3.52
Dy 0.0000 0.5000 0.0000  4 Tm 3.29, 2 Dy 3.52
Dy 0.8452 0.0000 0.6904  2 Dy 3.52, 10 Er 3.55-3.73
Dy 0.1548 0.0000 0.3096  2 Dy 3.52, 10 Er 3.55-3.73



Record 8
A plane-wave DFT calculation with PBE was carried out for a relaxed Mg2Os crystal.

Output
Calculated density in Mg/m³: 6.47
Calculated formation energy in eV/atom: 0.7268
DOS(E_F) in states/eV/f.u.: 4.1

a b c (Å): 4.4258 4.4258 4.4258
angles (deg): 60.00 60.00 60.00
Last column: nearest neighbours and their distance in Å.
Element x y z (fractional)
Mg 0.7500 0.7500 0.7500  4 Os 2.71
Mg 0.2500 0.2500 0.2500  4 Os 2.71
Os 0.0000 0.0000 0.0000  8 Mg 2.71